Entry 1:
This record from Alexandria via LeMat-Bulk describes a relaxed structure of NdYCdPt. The functional is PBE.

Values from the calculation:
For the size of the total moment, the calculation gives 0.0 μB/cell. The value obtained for the density of states at the Fermi level is 0.84 states/eV per atom. The value obtained for the formation energy is -2.669 eV/f.u. Its space group is F-43m, No. 216.

Lattice parameters (Å, degrees): 5.185 5.185 5.185 60.00 60.00 60.00
Atoms (fractional coordinates):
Nd: 0.000 0.000 0.000
Y: 0.500 0.500 0.500
Cd: 0.750 0.750 0.750
Pt: 0.250 0.250 0.250

---

Entry 2:
This record from Alexandria via LeMat-Bulk describes a relaxed structure of RbNaBeBr4. The functional is PBE.

Values from the calculation:
For the size of the total moment, the calculation gives 0.0 μB/cell. The value obtained for the density of states at the Fermi level is 0.00 states/eV per atom. The value obtained for the raw formation energy is -135 kJ per mole of atoms. Its space group is P2_1/m, No. 11.

Lattice parameters (Å, degrees): 6.892 7.391 9.184 90.00 108.39 90.00
Atoms (fractional coordinates):
Rb: 0.231 0.250 0.431
Rb: 0.769 0.750 0.569
Na: 0.277 0.250 0.949
Na: 0.723 0.750 0.051
Be: 0.287 0.750 0.182
Be: 0.713 0.250 0.818
Br: 0.086 0.750 0.946
Br: 0.107 0.750 0.344
Br: 0.492 0.512 0.224
Br: 0.492 0.988 0.224
Br: 0.508 0.012 0.776
Br: 0.508 0.488 0.776
Br: 0.893 0.250 0.656
Br: 0.914 0.250 0.054

---

Entry 3:
This record from Alexandria via LeMat-Bulk describes a relaxed structure of BaIn2Pt. The functional is PBE.

Values from the calculation:
For the size of the total moment, the calculation gives 0.0 μB/cell. The value obtained for the density of states at the Fermi level is 0.62 states/eV per atom. The value obtained for the formation energy is -0.574 eV/f.u. Its space group is C2/m, No. 12.

Lattice parameters (Å, degrees): 6.903 6.903 4.272 107.63 107.63 126.60
Atoms (fractional coordinates):
Ba: 0.000 0.000 0.000
In: 0.000 0.500 0.500
In: 0.500 0.000 0.500
Pt: 0.500 0.500 0.000